No. 1
VASP calculation (PBE-GGA) on NpZnPt after structural relaxation. Values from VASP.

Geometry as Quantum ESPRESSO input:
```
&SYSTEM
  ibrav = 0, nat = 6, ntyp = 3
/
ATOMIC_SPECIES
Np 237.00 Np.upf
Zn 65.41 Zn.upf
Pt 195.08 Pt.upf
ATOMIC_POSITIONS crystal
Np 0.0720 0.2500 0.1448
Np 0.9280 0.7500 0.8552
Zn 0.3881 0.2500 0.7772
Zn 0.6119 0.7500 0.2228
Pt 0.2309 0.7500 0.4602
Pt 0.7691 0.2500 0.5398
CELL_PARAMETERS angstrom
4.5436 0.0000 0.0000
0.0000 4.4432 0.0000
-2.2718 0.0000 5.4807
```

## Properties
- Crystal system: monoclinic
- Energy of formation from the pure elements: -92 kJ/mol of formula units
- Calculated volume: 111 Å³/cell
- Space-group type: P2_1/m, No. 11
- Density: 14.93 Mg/m³

***

No. 2
VASP calculation (PBE-GGA) on NpZnPt after structural relaxation. Values from VASP.

Geometry as Quantum ESPRESSO input:
```
&SYSTEM
  ibrav = 0, nat = 3, ntyp = 3
/
ATOMIC_SPECIES
Np 237.00 Np.upf
Zn 65.41 Zn.upf
Pt 195.08 Pt.upf
ATOMIC_POSITIONS crystal
Np 0.0000 0.0000 0.0000
Zn 0.3333 0.6667 0.5000
Pt 0.6667 0.3333 0.5000
CELL_PARAMETERS angstrom
4.6831 0.0000 0.0000
-2.3415 4.0557 0.0000
0.0000 0.0000 2.9031
```

## Properties
- Crystal system: hexagonal
- Energy of formation from the pure elements: -114 kJ/mol of formula units
- Calculated volume: 55 Å³/cell
- Space-group type: P-6m2, No. 187
- Density: 14.98 Mg/m³